Run w
Li4AlPd: optimized geometry, GGA-PBE.

a = 4.893 Å, b = 4.893 Å, c = 4.893 Å
α = 60.00°, β = 60.00°, γ = 60.00°
Fractional positions:
Al 0.250 0.250 0.250
Pd 0.000 0.000 0.000
Li 0.626 0.626 0.122
Li 0.626 0.122 0.626
Li 0.626 0.626 0.626
Li 0.122 0.626 0.626

Calculated values
Space-group type: No. 216

=====

Run x
Li4AlPd: optimized geometry, GGA-PBE.

a = 4.498 Å, b = 5.140 Å, c = 8.166 Å
α = 71.66°, β = 89.84°, γ = 89.50°
Fractional positions:
Li 0.755 0.282 0.917
Li 0.745 0.801 0.917
Li 0.750 0.961 0.583
Li 0.250 0.039 0.417
Li 0.250 0.545 0.417
Li 0.255 0.199 0.083
Li 0.750 0.455 0.583
Li 0.245 0.718 0.083
Al 0.750 0.376 0.248
Al 0.250 0.624 0.752
Pd 0.250 0.125 0.750
Pd 0.750 0.875 0.250

Calculated values
Space-group type: No. 15

=====

Result of the stability comparison: run w is the least stable of them.

=====

Run w
LiAl2Pd8: optimized geometry, GGA-PBE.

a = 4.072 Å, b = 7.105 Å, c = 7.051 Å
α = 120.26°, β = 106.78°, γ = 90.00°
Fractional positions:
Li 0.500 0.000 0.000
Al 0.201 0.701 0.401
Al 0.799 0.299 0.599
Pd 0.660 0.877 0.320
Pd 0.340 0.557 0.680
Pd 0.140 0.140 0.280
Pd 0.000 0.313 0.000
Pd 0.860 0.860 0.720
Pd 0.660 0.443 0.320
Pd 0.340 0.123 0.680
Pd 0.000 0.687 0.000

Calculated values
Space-group type: No. 71

=====

Run x
LiAl2Pd8: optimized geometry, GGA-PBE.

a = 4.604 Å, b = 6.707 Å, c = 6.707 Å
α = 117.12°, β = 101.86°, γ = 101.86°
Fractional positions:
Li 0.500 0.000 0.000
Al 0.000 0.306 0.694
Al 0.000 0.694 0.306
Pd 0.883 0.905 0.669
Pd 0.883 0.669 0.905
Pd 0.313 0.614 0.614
Pd 0.500 0.784 0.216
Pd 0.500 0.216 0.784
Pd 0.687 0.386 0.386
Pd 0.117 0.331 0.095
Pd 0.117 0.095 0.331

Calculated values
Space-group type: No. 12

=====

Result of the stability comparison: run x is the least stable of them.

=====

Run w
Li3AlPd6: optimized geometry, GGA-PBE.

a = 4.335 Å, b = 7.382 Å, c = 9.197 Å
α = 106.36°, β = 90.00°, γ = 90.00°
Fractional positions:
Li 0.250 0.538 0.392
Li 0.750 0.462 0.608
Li 0.250 0.362 0.803
Li 0.750 0.638 0.197
Li 0.250 0.764 0.980
Li 0.750 0.236 0.020
Al 0.250 0.942 0.607
Al 0.750 0.058 0.393
Pd 0.250 0.464 0.096
Pd 0.750 0.536 0.904
Pd 0.250 0.154 0.196
Pd 0.750 0.846 0.804
Pd 0.250 0.638 0.681
Pd 0.750 0.362 0.319
Pd 0.250 0.241 0.508
Pd 0.750 0.759 0.492
Pd 0.250 0.848 0.308
Pd 0.750 0.152 0.692
Pd 0.250 0.073 0.889
Pd 0.750 0.927 0.111

Calculated values
Space-group type: No. 11

=====

Run x
Li3AlPd6: optimized geometry, GGA-PBE.

a = 6.899 Å, b = 6.899 Å, c = 6.899 Å
α = 100.36°, β = 100.36°, γ = 100.36°
Fractional positions:
Li 0.563 0.850 0.850
Li 0.850 0.850 0.563
Li 0.150 0.437 0.150
Li 0.850 0.563 0.850
Li 0.150 0.150 0.437
Li 0.437 0.150 0.150
Al 0.000 0.000 0.000
Al 0.500 0.500 0.500
Pd 0.254 0.746 0.000
Pd 0.254 0.000 0.746
Pd 0.412 0.818 0.412
Pd 0.000 0.746 0.254
Pd 0.412 0.412 0.818
Pd 0.182 0.588 0.588
Pd 0.818 0.412 0.412
Pd 0.588 0.588 0.182
Pd 0.000 0.254 0.746
Pd 0.588 0.182 0.588
Pd 0.746 0.000 0.254
Pd 0.746 0.254 0.000

Calculated values
Space-group type: No. 166

=====

Result of the stability comparison: run x is the least stable of them.

=====

Run w
LiAlPd4: optimized geometry, GGA-PBE.

a = 4.511 Å, b = 5.333 Å, c = 8.797 Å
α = 90.00°, β = 104.86°, γ = 90.00°
Fractional positions:
Li 0.856 0.823 0.712
Li 0.144 0.323 0.288
Al 0.580 0.822 0.160
Al 0.420 0.322 0.840
Pd 0.853 0.323 0.705
Pd 0.147 0.823 0.295
Pd 0.440 0.822 0.880
Pd 0.560 0.322 0.120
Pd 0.705 0.571 0.410
Pd 0.295 0.071 0.590
Pd 0.705 0.073 0.410
Pd 0.295 0.573 0.590

Calculated values
Space-group type: No. 63

=====

Run x
LiAlPd4: optimized geometry, GGA-PBE.

a = 5.763 Å, b = 5.763 Å, c = 7.003 Å
α = 113.77°, β = 113.77°, γ = 90.58°
Fractional positions:
Li 0.125 0.875 0.750
Li 0.875 0.125 0.250
Al 0.375 0.625 0.250
Al 0.625 0.375 0.750
Pd 0.000 0.249 0.999
Pd 0.500 0.752 0.999
Pd 0.249 0.500 0.501
Pd 0.751 0.500 0.499
Pd 0.249 0.000 0.499
Pd 0.500 0.248 0.001
Pd 0.751 0.000 0.501
Pd 0.000 0.751 0.001

Calculated values
Space-group type: No. 15

=====

Result of the stability comparison: run w is the least stable of them.

=====

Run w
Li4AlPd5: optimized geometry, GGA-PBE.

a = 3.015 Å, b = 3.015 Å, c = 14.943 Å
α = 90.00°, β = 90.00°, γ = 90.00°
Fractional positions:
Li 0.000 0.000 0.206
Li 0.000 0.000 0.401
Li 0.000 0.000 0.599
Li 0.000 0.000 0.794
Al 0.000 0.000 0.000
Pd 0.500 0.500 0.100
Pd 0.500 0.500 0.301
Pd 0.500 0.500 0.500
Pd 0.500 0.500 0.699
Pd 0.500 0.500 0.900

Calculated values
Space-group type: No. 123

=====

Run x
Li4AlPd5: optimized geometry, GGA-PBE.

a = 4.752 Å, b = 6.369 Å, c = 6.369 Å
α = 82.00°, β = 68.09°, γ = 68.09°
Fractional positions:
Li 0.463 0.303 0.697
Li 0.766 0.697 0.697
Li 0.161 0.303 0.303
Li 0.463 0.697 0.303
Al 0.141 0.000 0.000
Pd 0.781 0.384 0.000
Pd 0.165 0.000 0.616
Pd 0.781 0.000 0.384
Pd 0.165 0.616 0.000
Pd 0.625 0.000 0.000

Calculated values
Space-group type: No. 107

=====

Result of the stability comparison: run x is the least stable of them.

=====

Run w
LiAlPd6: optimized geometry, GGA-PBE.

a = 3.892 Å, b = 5.520 Å, c = 5.520 Å
α = 89.96°, β = 90.00°, γ = 90.00°
Fractional positions:
Li 0.500 0.500 0.500
Al 0.500 0.000 0.000
Pd 0.000 0.754 0.246
Pd 0.000 0.246 0.754
Pd 0.000 0.754 0.754
Pd 0.000 0.246 0.246
Pd 0.500 0.500 0.000
Pd 0.500 0.000 0.500

Calculated values
Space-group type: No. 123

=====

Run x
LiAlPd6: optimized geometry, GGA-PBE.

a = 4.624 Å, b = 4.624 Å, c = 7.162 Å
α = 72.15°, β = 72.15°, γ = 70.07°
Fractional positions:
Li 0.500 0.500 0.500
Al 0.000 0.000 0.000
Pd 0.061 0.549 0.300
Pd 0.549 0.061 0.300
Pd 0.451 0.939 0.700
Pd 0.939 0.451 0.700
Pd 0.349 0.349 0.938
Pd 0.651 0.651 0.062

Calculated values
Space-group type: No. 12

=====

Result of the stability comparison: run x is the least stable of them.

=====

Run w
LiPmAl: optimized geometry, GGA-PBE.

a = 3.283 Å, b = 4.934 Å, c = 4.934 Å
α = 120.00°, β = 90.00°, γ = 90.00°
Fractional positions:
Li 0.166 0.667 0.333
Al 0.167 0.000 0.000
Pm 0.667 0.333 0.667

Calculated values
Space-group type: No. 156

=====

Run x
LiPmAl: optimized geometry, GGA-PBE.

a = 5.557 Å, b = 5.725 Å, c = 5.725 Å
α = 62.06°, β = 60.97°, γ = 60.97°
Fractional positions:
Li 0.000 0.000 0.000
Li 0.500 0.000 0.000
Pm 0.862 0.388 0.388
Pm 0.138 0.612 0.612
Al 0.500 0.500 0.000
Al 0.500 0.000 0.500

Calculated values
Space-group type: No. 74

=====

Run y
LiPmAl: optimized geometry, GGA-PBE.

a = 4.993 Å, b = 4.993 Å, c = 6.159 Å
α = 90.00°, β = 90.00°, γ = 120.00°
Fractional positions:
Li 0.667 0.333 0.750
Li 0.333 0.667 0.250
Al 0.000 0.000 0.500
Al 0.000 0.000 0.000
Pm 0.667 0.333 0.250
Pm 0.333 0.667 0.750

Calculated values
Space-group type: No. 194

=====

Result of the stability comparison: run y is the least stable of them.

=====

Run w
LiPmAl: optimized geometry, GGA-PBE.

a = 4.324 Å, b = 4.324 Å, c = 8.663 Å
α = 90.01°, β = 90.00°, γ = 60.00°
Fractional positions:
Li 0.000 0.500 0.865
Li 0.000 0.500 0.135
Pm 0.667 0.167 0.339
Pm 0.333 0.833 0.661
Al 0.667 0.167 0.938
Al 0.333 0.833 0.062

Calculated values
Space-group type: No. 164

=====

Run x
LiPmAl: optimized geometry, GGA-PBE.

a = 3.439 Å, b = 3.439 Å, c = 6.256 Å
α = 105.95°, β = 105.95°, γ = 90.00°
Fractional positions:
Pm 0.958 0.958 0.916
Al 0.639 0.639 0.277
Li 0.253 0.253 0.507

Calculated values
Space-group type: No. 107

=====

Result of the stability comparison: run w is the least stable of them.